(1)
Entry from the Alexandria database: an optimized crystal structure of Co2H2Pt (GGA-PBEsol).

Summary:
Final energy   -5.740 eV/atom
Magnetic moment   0.4423 μB/atom

a b c (Å): 3.1782 3.1782 7.9469
angles (deg): 90.00 90.00 90.00
Space group I4/mmm (No. 139)
One atom of each set of equivalent atoms:
Co 0.0000 0.0000 0.1702
H 0.0000 0.5000 0.2500
Pt 0.0000 0.0000 0.5000

(2)
Entry from the Alexandria database: an optimized crystal structure of CoHPtSe2 (GGA-PBEsol).

Summary:
Final energy   -4.815 eV/atom
Magnetic moment   0.0000 μB/atom

a b c (Å): 4.4607 4.4607 3.1844
angles (deg): 90.00 90.00 90.00
Space group P4/mmm (No. 123)
One atom of each set of equivalent atoms:
Co 0.0000 0.0000 0.0000
H 0.0000 0.0000 0.5000
Pt 0.5000 0.5000 0.0000
Se 0.0000 0.5000 0.5000

> final energy of number 2 (CoHPtSe2)?

-4.815 eV/atom

> What is the final energy in the second record?

-4.815 eV/atom